# 1
A plane-wave DFT calculation with PBE-GGA was carried out for a relaxed TbSm7Tm12 crystal.

```
data_TbSm7Tm12
_chemical_formula_sum 'Tb3 Sm21 Tm36'
_cell_length_a 11.8629
_cell_length_b 11.8629
_cell_length_c 16.1054
_cell_angle_alpha 90.00
_cell_angle_beta 90.00
_cell_angle_gamma 120.00
_symmetry_space_group_name_H-M 'R -3'
_symmetry_Int_Tables_number 148
_symmetry_space_group_name_Hall '-R 3'
loop_
_atom_site_label
_atom_site_fract_x
_atom_site_fract_y
_atom_site_fract_z
Tb1 0.0000 0.0000 0.0000
Sm1 0.0000 0.0000 0.5000
Sm2 0.0532 0.8639 0.7910
Tm1 0.0218 0.5737 0.7203
Tm2 0.0501 0.4636 0.0835
```

Values from the calculation:
Offset from the most stable computed form   0.000 eV per formula unit
Volume   32.71 Å³/atom
Energy of formation from the pure elements   236 meV/atom

---

# 2
A plane-wave DFT calculation with PBE-GGA was carried out for a relaxed TbSm3Tm crystal.

```
data_TbSm3Tm
_chemical_formula_sum 'Tb4 Sm12 Tm4'
_cell_length_a 5.786
_cell_length_b 16.311
_cell_length_c 7.113
_cell_angle_alpha 90.00
_cell_angle_beta 90.00
_cell_angle_gamma 90.00
_symmetry_space_group_name_H-M 'C m c m'
_symmetry_Int_Tables_number 63
_symmetry_space_group_name_Hall '-C 2c 2'
loop_
_atom_site_label
_atom_site_fract_x
_atom_site_fract_y
_atom_site_fract_z
Tb1 0.000 0.115 0.250
Sm1 0.000 0.115 0.750
Sm2 0.000 0.310 0.000
Tm1 0.000 0.500 0.250
```

Values from the calculation:
Offset from the most stable computed form   0.550 eV per formula unit
Volume   33.57 Å³/atom
Energy of formation from the pure elements   130 meV/atom

---

# 3
A plane-wave DFT calculation with PBE-GGA was carried out for a relaxed Tb8SmTm5 crystal.

```
data_Tb8SmTm5
_chemical_formula_sum 'Tb16 Sm2 Tm10'
_cell_length_a 9.472
_cell_length_b 9.472
_cell_length_c 10.163
_cell_angle_alpha 90.00
_cell_angle_beta 90.00
_cell_angle_gamma 90.00
_symmetry_space_group_name_H-M 'I -4'
_symmetry_Int_Tables_number 82
_symmetry_space_group_name_Hall 'I -4'
loop_
_atom_site_label
_atom_site_fract_x
_atom_site_fract_y
_atom_site_fract_z
Tb1 0.070 0.324 0.400
Tb2 0.090 0.173 0.747
Sm1 0.000 0.500 0.750
Tm1 0.000 0.000 0.500
Tm2 0.112 0.207 0.073
```

Values from the calculation:
Volume   32.56 Å³/atom
Energy of formation from the pure elements   252 meV/atom

---

# 4
A plane-wave DFT calculation with PBE-GGA was carried out for a relaxed Tb4Sm11Tm9 crystal.

```
data_Tb4Sm11Tm9
_chemical_formula_sum 'Tb8 Sm22 Tm18'
_cell_length_a 16.749
_cell_length_b 25.349
_cell_length_c 3.653
_cell_angle_alpha 90.00
_cell_angle_beta 90.00
_cell_angle_gamma 90.00
_symmetry_space_group_name_H-M 'C m m m'
_symmetry_Int_Tables_number 65
_symmetry_space_group_name_Hall '-C 2 2'
loop_
_atom_site_label
_atom_site_fract_x
_atom_site_fract_y
_atom_site_fract_z
Tb1 0.156 0.101 0.000
Sm1 0.000 0.133 0.500
Sm2 0.000 0.340 0.500
Sm3 0.000 0.500 0.500
Sm4 0.209 0.000 0.500
Sm5 0.225 0.319 0.500
Tm1 0.000 0.000 0.000
Tm2 0.102 0.234 0.000
Tm3 0.140 0.427 0.000
```

Values from the calculation:
Volume   32.31 Å³/atom
Energy of formation from the pure elements   57 meV/atom

---

# 5
A plane-wave DFT calculation with PBE-GGA was carried out for a relaxed Tb3Sm4Tm2 crystal.

```
data_Tb3Sm4Tm2
_chemical_formula_sum 'Tb12 Sm16 Tm8'
_cell_length_a 17.146
_cell_length_b 10.080
_cell_length_c 6.840
_cell_angle_alpha 90.00
_cell_angle_beta 92.47
_cell_angle_gamma 90.00
_symmetry_space_group_name_H-M 'C 1 2/c 1'
_symmetry_Int_Tables_number 15
_symmetry_space_group_name_Hall '-C 2yc'
loop_
_atom_site_label
_atom_site_fract_x
_atom_site_fract_y
_atom_site_fract_z
Tb1 0.000 0.011 0.250
Tb2 0.154 0.457 0.244
Sm1 0.018 0.322 0.514
Sm2 0.188 0.125 0.412
Tm1 0.163 0.209 0.896
```

Values from the calculation:
Offset from the most stable computed form   0.551 eV per formula unit
Volume   32.81 Å³/atom
Energy of formation from the pure elements   93 meV/atom

---

# 6
A plane-wave DFT calculation with PBE-GGA was carried out for a relaxed Tb5Sm12Tm2 crystal.

```
data_Tb5Sm12Tm2
_chemical_formula_sum 'Tb10 Sm24 Tm4'
_cell_length_a 15.273
_cell_length_b 10.482
_cell_length_c 7.986
_cell_angle_alpha 90.00
_cell_angle_beta 93.10
_cell_angle_gamma 90.00
_symmetry_space_group_name_H-M 'C 1 2/m 1'
_symmetry_Int_Tables_number 12
_symmetry_space_group_name_Hall '-C 2y'
loop_
_atom_site_label
_atom_site_fract_x
_atom_site_fract_y
_atom_site_fract_z
Tb1 0.000 0.000 0.000
Tb2 0.155 0.500 0.589
Tb3 0.243 0.000 0.985
Sm1 0.053 0.500 0.209
Sm2 0.106 0.274 0.887
Sm3 0.136 0.000 0.608
Sm4 0.188 0.229 0.294
Tm1 0.000 0.264 0.500
```

Values from the calculation:
Offset from the most stable computed form   0.237 eV per formula unit
Volume   33.60 Å³/atom
Energy of formation from the pure elements   132 meV/atom

---

# 7
A plane-wave DFT calculation with PBE-GGA was carried out for a relaxed Tb2SmTm crystal.

```
data_Tb2SmTm
_chemical_formula_sum 'Tb8 Sm4 Tm4'
_cell_length_a 12.311
_cell_length_b 7.119
_cell_length_c 6.162
_cell_angle_alpha 90.00
_cell_angle_beta 109.36
_cell_angle_gamma 90.00
_symmetry_space_group_name_H-M 'C 1 2/c 1'
_symmetry_Int_Tables_number 15
_symmetry_space_group_name_Hall '-C 2yc'
loop_
_atom_site_label
_atom_site_fract_x
_atom_site_fract_y
_atom_site_fract_z
Tb1 0.250 0.126 0.248
Sm1 0.000 0.375 0.250
Tm1 0.000 0.124 0.750
```

Values from the calculation:
Offset from the most stable computed form   0.010 eV per formula unit
Volume   31.84 Å³/atom
Energy of formation from the pure elements   15 meV/atom

---

# 8
A plane-wave DFT calculation with PBE-GGA was carried out for a relaxed Tb6Sm6Tm crystal.

```
data_Tb6Sm6Tm
_chemical_formula_sum 'Tb6 Sm6 Tm1'
_cell_length_a 6.7071
_cell_length_b 6.7071
_cell_length_c 11.3812
_cell_angle_alpha 90.00
_cell_angle_beta 90.00
_cell_angle_gamma 120.00
_symmetry_space_group_name_H-M 'P 6/m m m'
_symmetry_Int_Tables_number 191
_symmetry_space_group_name_Hall '-P 6 2'
loop_
_atom_site_label
_atom_site_fract_x
_atom_site_fract_y
_atom_site_fract_z
Tb1 0.0000 0.5000 0.2464
Sm1 0.0000 0.0000 0.3454
Sm2 0.3333 0.6667 0.0000
Sm3 0.3333 0.6667 0.5000
Tm1 0.0000 0.0000 0.0000
```

Values from the calculation:
Volume   34.11 Å³/atom
Energy of formation from the pure elements   293 meV/atom

---

# 9
A plane-wave DFT calculation with PBE-GGA was carried out for a relaxed Tb3Sm2Tm8 crystal.

```
data_Tb3Sm2Tm8
_chemical_formula_sum 'Tb3 Sm2 Tm8'
_cell_length_a 7.557
_cell_length_b 5.503
_cell_length_c 10.902
_cell_angle_alpha 90.00
_cell_angle_beta 110.26
_cell_angle_gamma 90.00
_symmetry_space_group_name_H-M 'P 1 2/m 1'
_symmetry_Int_Tables_number 10
_symmetry_space_group_name_Hall '-P 2y'
loop_
_atom_site_label
_atom_site_fract_x
_atom_site_fract_y
_atom_site_fract_z
Tb1 0.000 0.000 0.000
Tb2 0.287 0.500 0.000
Sm1 0.241 0.000 0.481
Tm1 0.130 0.500 0.260
Tm2 0.179 0.000 0.783
Tm3 0.337 0.500 0.673
Tm4 0.395 0.000 0.217
```

Values from the calculation:
Volume   32.72 Å³/atom
Energy of formation from the pure elements   253 meV/atom

---

# 10
A plane-wave DFT calculation with PBE-GGA was carried out for a relaxed Tb4Sm5Tm4 crystal.

```
data_Tb4Sm5Tm4
_chemical_formula_sum 'Tb8 Sm10 Tm8'
_cell_length_a 12.854
_cell_length_b 12.854
_cell_length_c 5.032
_cell_angle_alpha 90.00
_cell_angle_beta 90.00
_cell_angle_gamma 90.00
_symmetry_space_group_name_H-M 'I 4/m'
_symmetry_Int_Tables_number 87
_symmetry_space_group_name_Hall '-I 4'
loop_
_atom_site_label
_atom_site_fract_x
_atom_site_fract_y
_atom_site_fract_z
Tb1 0.155 0.232 0.000
Sm1 0.000 0.000 0.000
Sm2 0.038 0.805 0.500
Tm1 0.076 0.614 0.000
```

Values from the calculation:
Volume   31.98 Å³/atom
Energy of formation from the pure elements   19 meV/atom

---

# 11
A plane-wave DFT calculation with PBE-GGA was carried out for a relaxed Tb4SmTm6 crystal.

```
data_Tb4SmTm6
_chemical_formula_sum 'Tb8 Sm2 Tm12'
_cell_length_a 6.535
_cell_length_b 6.535
_cell_length_c 16.886
_cell_angle_alpha 90.00
_cell_angle_beta 90.00
_cell_angle_gamma 90.00
_symmetry_space_group_name_H-M 'I -4 2 m'
_symmetry_Int_Tables_number 121
_symmetry_space_group_name_Hall 'I -4 2'
loop_
_atom_site_label
_atom_site_fract_x
_atom_site_fract_y
_atom_site_fract_z
Tb1 0.187 0.187 0.174
Sm1 0.000 0.000 0.000
Tm1 0.000 0.500 0.000
Tm2 0.179 0.179 0.370
```

Values from the calculation:
Offset from the most stable computed form   0.000 eV per formula unit
Volume   32.78 Å³/atom
Energy of formation from the pure elements   316 meV/atom

---

# 12
A plane-wave DFT calculation with PBE-GGA was carried out for a relaxed Tb5SmTm crystal.

```
data_Tb5SmTm
_chemical_formula_sum 'Tb10 Sm2 Tm2'
_cell_length_a 7.984
_cell_length_b 11.647
_cell_length_c 6.150
_cell_angle_alpha 90.00
_cell_angle_beta 90.00
_cell_angle_gamma 90.00
_symmetry_space_group_name_H-M 'I m m 2'
_symmetry_Int_Tables_number 44
_symmetry_space_group_name_Hall 'I 2 -2'
loop_
_atom_site_label
_atom_site_fract_x
_atom_site_fract_y
_atom_site_fract_z
Tb1 0.000 0.000 0.000
Tb2 0.000 0.245 0.266
Tb3 0.179 0.500 0.763
Sm1 0.000 0.500 0.262
Tm1 0.000 0.000 0.523
```

Values from the calculation:
Offset from the most stable computed form   5.315 eV per formula unit
Volume   40.85 Å³/atom
Energy of formation from the pure elements   947 meV/atom

---

# 13
A plane-wave DFT calculation with PBE-GGA was carried out for a relaxed Tb7SmTm2 crystal.

```
data_Tb7SmTm2
_chemical_formula_sum 'Tb14 Sm2 Tm4'
_cell_length_a 5.441
_cell_length_b 7.013
_cell_length_c 16.709
_cell_angle_alpha 90.00
_cell_angle_beta 90.00
_cell_angle_gamma 90.00
_symmetry_space_group_name_H-M 'I m m m'
_symmetry_Int_Tables_number 71
_symmetry_space_group_name_Hall '-I 2 2'
loop_
_atom_site_label
_atom_site_fract_x
_atom_site_fract_y
_atom_site_fract_z
Tb1 0.000 0.000 0.000
Tb2 0.000 0.251 0.390
Tb3 0.000 0.500 0.200
Sm1 0.000 0.500 0.000
Tm1 0.000 0.000 0.199
```

Values from the calculation:
Offset from the most stable computed form   0.000 eV per formula unit
Volume   31.88 Å³/atom
Energy of formation from the pure elements   46 meV/atom

---

# 14
A plane-wave DFT calculation with PBE-GGA was carried out for a relaxed Tb2Sm2Tm3 crystal.

```
data_Tb2Sm2Tm3
_chemical_formula_sum 'Tb8 Sm8 Tm12'
_cell_length_a 9.671
_cell_length_b 9.671
_cell_length_c 9.671
_cell_angle_alpha 90.00
_cell_angle_beta 90.00
_cell_angle_gamma 90.00
_symmetry_space_group_name_H-M 'I 21 3'
_symmetry_Int_Tables_number 199
_symmetry_space_group_name_Hall 'I 2b 2c 3'
loop_
_atom_site_label
_atom_site_fract_x
_atom_site_fract_y
_atom_site_fract_z
Tb1 0.209 0.209 0.209
Sm1 0.093 0.407 0.593
Tm1 0.000 0.250 0.945
```

Values from the calculation:
Offset from the most stable computed form   0.659 eV per formula unit
Volume   32.30 Å³/atom
Energy of formation from the pure elements   228 meV/atom

---

# 15
A plane-wave DFT calculation with PBE-GGA was carried out for a relaxed Tb4SmTm4 crystal.

```
data_Tb4SmTm4
_chemical_formula_sum 'Tb8 Sm2 Tm8'
_cell_length_a 10.617
_cell_length_b 10.617
_cell_length_c 4.981
_cell_angle_alpha 90.00
_cell_angle_beta 90.00
_cell_angle_gamma 90.00
_symmetry_space_group_name_H-M 'I 4/m m m'
_symmetry_Int_Tables_number 139
_symmetry_space_group_name_Hall '-I 4 2'
loop_
_atom_site_label
_atom_site_fract_x
_atom_site_fract_y
_atom_site_fract_z
Tb1 0.000 0.333 0.000
Sm1 0.000 0.000 0.000
Tm1 0.167 0.167 0.500
```

Values from the calculation:
Offset from the most stable computed form   0.000 eV per formula unit
Volume   31.20 Å³/atom
Energy of formation from the pure elements   21 meV/atom

---

# 16
A plane-wave DFT calculation with PBE-GGA was carried out for a relaxed Tb3SmTm4 crystal.

```
data_Tb3SmTm4
_chemical_formula_sum 'Tb6 Sm2 Tm8'
_cell_length_a 5.596
_cell_length_b 26.125
_cell_length_c 3.520
_cell_angle_alpha 90.00
_cell_angle_beta 90.00
_cell_angle_gamma 90.00
_symmetry_space_group_name_H-M 'C m m m'
_symmetry_Int_Tables_number 65
_symmetry_space_group_name_Hall '-C 2 2'
loop_
_atom_site_label
_atom_site_fract_x
_atom_site_fract_y
_atom_site_fract_z
Tb1 0.000 0.000 0.000
Tb2 0.000 0.157 0.500
Sm1 0.000 0.500 0.500
Tm1 0.000 0.277 0.000
Tm2 0.000 0.395 0.000
```

Values from the calculation:
Offset from the most stable computed form   1.641 eV per formula unit
Volume   32.17 Å³/atom
Energy of formation from the pure elements   214 meV/atom

---

# 17
A plane-wave DFT calculation with PBE-GGA was carried out for a relaxed Tb4Sm2Tm5 crystal.

```
data_Tb4Sm2Tm5
_chemical_formula_sum 'Tb4 Sm2 Tm5'
_cell_length_a 3.534
_cell_length_b 8.666
_cell_length_c 11.740
_cell_angle_alpha 75.99
_cell_angle_beta 81.38
_cell_angle_gamma 89.99
_symmetry_space_group_name_H-M 'P -1'
_symmetry_Int_Tables_number 2
_symmetry_space_group_name_Hall '-P 1'
loop_
_atom_site_label
_atom_site_fract_x
_atom_site_fract_y
_atom_site_fract_z
Tb1 0.046 0.361 0.408
Tb2 0.318 0.546 0.864
Sm1 0.407 0.269 0.684
Tm1 0.137 0.092 0.226
Tm2 0.229 0.820 0.044
Tm3 0.500 0.000 0.500
```

Values from the calculation:
Offset from the most stable computed form   0.000 eV per formula unit
Volume   31.34 Å³/atom
Energy of formation from the pure elements   20 meV/atom

---

# 18
A plane-wave DFT calculation with PBE-GGA was carried out for a relaxed TbSm4Tm5 crystal.

```
data_TbSm4Tm5
_chemical_formula_sum 'Tb2 Sm8 Tm10'
_cell_length_a 17.019
_cell_length_b 3.505
_cell_length_c 11.113
_cell_angle_alpha 90.00
_cell_angle_beta 90.10
_cell_angle_gamma 90.00
_symmetry_space_group_name_H-M 'C 1 2/m 1'
_symmetry_Int_Tables_number 12
_symmetry_space_group_name_Hall '-C 2y'
loop_
_atom_site_label
_atom_site_fract_x
_atom_site_fract_y
_atom_site_fract_z
Tb1 0.000 0.000 0.000
Sm1 0.031 0.500 0.749
Sm2 0.156 0.000 0.250
Tm1 0.000 0.000 0.500
Tm2 0.173 0.500 0.548
Tm3 0.174 0.500 0.949
```

Values from the calculation:
Offset from the most stable computed form   0.000 eV per formula unit
Volume   33.15 Å³/atom
Energy of formation from the pure elements   196 meV/atom

---

# 19
A plane-wave DFT calculation with PBE-GGA was carried out for a relaxed Tb2Sm3Tm4 crystal.

```
data_Tb2Sm3Tm4
_chemical_formula_sum 'Tb8 Sm12 Tm16'
_cell_length_a 16.384
_cell_length_b 11.543
_cell_length_c 6.062
_cell_angle_alpha 90.00
_cell_angle_beta 96.80
_cell_angle_gamma 90.00
_symmetry_space_group_name_H-M 'C 1 2/c 1'
_symmetry_Int_Tables_number 15
_symmetry_space_group_name_Hall '-C 2yc'
loop_
_atom_site_label
_atom_site_fract_x
_atom_site_fract_y
_atom_site_fract_z
Tb1 0.106 0.115 0.283
Sm1 0.000 0.148 0.750
Sm2 0.165 0.350 0.585
Tm1 0.061 0.388 0.043
Tm2 0.231 0.113 0.874
```

Values from the calculation:
Offset from the most stable computed form   0.728 eV per formula unit
Volume   31.62 Å³/atom
Energy of formation from the pure elements   103 meV/atom